DFT (PBE-GGA) results for Li6NdPb6 after structural relaxation.

a = 5.9634 Å, b = 9.6647 Å, c = 10.3244 Å
α = 90.00°, β = 90.00°, γ = 90.00°
Closest atoms and distances in Å follow each position.
Space group Immm (No. 71)
Inequivalent atoms, fractional coordinates:
1 Li 0.0000 0.2477 0.0000  6 Pb 2.95-3.12, 4 Li 2.98
2 Li 0.2500 0.2500 0.2500  6 Pb 2.97-3.11, 4 Li 2.98
3 Nd 0.0000 0.5000 0.5000  8 Pb 3.31-3.47
4 Pb 0.0000 0.0000 0.1664  6 Li 2.95-2.97
5 Pb 0.0000 0.1577 0.5000  1 Pb 3.05, 6 Li 3.11-3.12, 1 Nd 3.31
6 Pb 0.0000 0.5000 0.1636  6 Li 2.97-2.98

Results
DFT total energy	-3.265	eV per atom
DOS at the Fermi energy	4.9	states/eV/f.u.
E_form	-3.9	eV/f.u.